NaNdMgWO6 | PBE with a Hubbard U | optimized geometry

For the total energy, the calculation gives -141.050 eV/cell. As for the total magnetization: 0.00 μB/f.u.

The space group is P2_1 (No. 4) and the conventional cell measures 5.521, 5.602 and 7.959 Å, with angles of 90.00, 90.17 and 90.00 degrees. The asymmetric unit holds Na at (0.247, 0.000, 0.001), Nd at (0.259, 0.929, 0.501), Mg at (0.250, 0.472, 0.758), W at (0.243, 0.477, 0.237), O at (0.041, 0.786, 0.776), O at (0.063, 0.769, 0.220), O at (0.166, 0.498, 0.494), O at (0.325, 0.452, 0.011), O at (0.454, 0.205, 0.305) and O at (0.475, 0.184, 0.695).